TlSeNF2: optimized geometry, PBE.

Values from the calculation:
The distance to the lowest polymorph of the same formula comes out at 675 meV/atom. Its space-group type is P4/mmm (123). Its uncorrected formation energy is 1.13 eV/f.u. The total energy comes out at -3.358 eV per atom.

The structure in POSCAR format:
```
TlSeNF2
1.0
-4.349 -0.288 0.503
0.008 -3.834 -2.134
0.606 -2.211 3.974
F Tl Se N
2 1 1 1
Cartesian
0.004 -1.917 -1.067
-2.174 -0.144 0.251
0.000 0.000 0.000
-1.868 -3.166 1.172
0.303 -1.105 1.987
```